No. 1
InHgN3, optimized geometry, DFT GGA-PBE; symmetry = Pm-3m; crystal system = cubic; energy = -3.59 eV per atom; formation energy (no corrections) = 194 kJ/mol of atoms
1.0
4.310 0.000 0.000
0.000 4.310 0.000
0.000 0.000 4.310
Hg N In
1 3 1
Cartesian
2.155 2.155 2.155 Hg
0.000 2.155 0.000 N
2.155 0.000 0.000 N
0.000 0.000 2.155 N
0.000 0.000 0.000 In



No. 2
InHg2N, optimized geometry, DFT GGA-PBE; energy above the most stable polymorph in this dataset = 0 meV per atom; symmetry = I-42d; crystal system = tetragonal; energy = -2.19 eV per atom; formation energy (no corrections) = 70 kJ/mol of atoms
1.0
6.469 0.000 0.000
0.000 6.469 0.000
3.235 3.235 4.768
Hg N In
4 2 2
Cartesian
2.280 4.852 1.192 Hg
4.852 5.514 3.576 Hg
4.190 1.617 1.192 Hg
8.087 7.424 3.576 Hg
3.235 6.469 2.384 N
3.235 3.235 0.000 N
6.469 3.235 2.384 In
0.000 0.000 0.000 In



No. 3
In2HgN2, optimized geometry, DFT GGA-PBE; energy above the most stable polymorph in this dataset = 403 meV per atom; symmetry = I4/mmm; crystal system = tetragonal; energy = -3.90 eV per atom; formation energy (no corrections) = 56 kJ/mol of atoms
1.0
-2.757 -1.466 -2.944
-2.927 -0.659 3.069
-5.146 5.050 -0.824
N In Hg
2 2 1
Cartesian
-3.804 1.490 -0.308 N
-7.026 1.435 -0.392 N
-5.458 1.664 1.154 In
-5.372 1.261 -1.853 In
0.000 0.000 0.000 Hg



No. 4
InHg4N2, optimized geometry, DFT GGA-PBE; symmetry = P-1; crystal system = triclinic; energy = -2.11 eV per atom; formation energy (no corrections) = 80 kJ/mol of atoms
1.0
3.875 0.645 -0.666
0.932 7.101 0.330
-1.075 0.177 5.749
Hg In N
4 1 2
Cartesian
0.348 3.172 4.957 Hg
2.075 2.055 2.127 Hg
1.657 5.868 3.287 Hg
3.383 4.751 0.457 Hg
0.000 0.000 0.000 In
0.315 1.582 3.352 N
3.416 6.341 2.062 N



No. 5
Nd12In4HgN3, optimized geometry, DFT GGA-PBE; symmetry = Im-3m; crystal system = cubic; energy = -5.25 eV per atom; formation energy (no corrections) = -56 kJ/mol of atoms
1.0
9.023 0.000 0.000
-3.008 8.507 0.000
-3.008 -4.254 7.367
Nd In N Hg
12 4 3 1
Cartesian
1.662 -1.176 2.036 Nd
-1.662 1.176 2.036 Nd
4.512 3.190 1.842 Nd
-1.504 4.254 3.684 Nd
4.353 -3.078 5.331 Nd
1.662 2.351 0.000 Nd
1.504 5.317 1.842 Nd
-4.353 3.078 5.331 Nd
4.512 0.000 3.684 Nd
-1.504 1.063 5.525 Nd
4.353 6.156 0.000 Nd
1.504 -1.063 5.525 Nd
1.504 2.127 3.684 In
4.512 0.000 0.000 In
-1.504 4.254 0.000 In
-1.504 -2.127 3.684 In
3.008 4.254 0.000 N
-3.008 2.127 3.684 N
3.008 -2.127 3.684 N
0.000 0.000 0.000 Hg



No. 6
InHgNO2, optimized geometry, DFT GGA-PBE; symmetry = P4/mmm; crystal system = tetragonal; energy = -3.78 eV per atom; formation energy (no corrections) = 46 kJ/mol of atoms
1.0
4.250 0.000 0.000
0.000 4.250 0.000
0.000 0.000 4.295
N In Hg O
1 1 1 2
Cartesian
0.000 0.000 2.148 N
0.000 0.000 0.000 In
2.125 2.125 2.148 Hg
2.125 0.000 0.000 O
0.000 2.125 0.000 O



Question: Among the records above, which one has the highest energy?
Answer: InHg4N2



Repeat the fifth record exactly.
Nd12In4HgN3, optimized geometry, DFT GGA-PBE; symmetry = Im-3m; crystal system = cubic; energy = -5.25 eV per atom; formation energy (no corrections) = -56 kJ/mol of atoms
1.0
9.023 0.000 0.000
-3.008 8.507 0.000
-3.008 -4.254 7.367
Nd In N Hg
12 4 3 1
Cartesian
1.662 -1.176 2.036 Nd
-1.662 1.176 2.036 Nd
4.512 3.190 1.842 Nd
-1.504 4.254 3.684 Nd
4.353 -3.078 5.331 Nd
1.662 2.351 0.000 Nd
1.504 5.317 1.842 Nd
-4.353 3.078 5.331 Nd
4.512 0.000 3.684 Nd
-1.504 1.063 5.525 Nd
4.353 6.156 0.000 Nd
1.504 -1.063 5.525 Nd
1.504 2.127 3.684 In
4.512 0.000 0.000 In
-1.504 4.254 0.000 In
-1.504 -2.127 3.684 In
3.008 4.254 0.000 N
-3.008 2.127 3.684 N
3.008 -2.127 3.684 N
0.000 0.000 0.000 Hg



Question: The highest formation energy (no corrections) belongs to which entry?
Answer: InHgN3



Copy entry 2 word for word.
InHg2N, optimized geometry, DFT GGA-PBE; energy above the most stable polymorph in this dataset = 0 meV per atom; symmetry = I-42d; crystal system = tetragonal; energy = -2.19 eV per atom; formation energy (no corrections) = 70 kJ/mol of atoms
1.0
6.469 0.000 0.000
0.000 6.469 0.000
3.235 3.235 4.768
Hg N In
4 2 2
Cartesian
2.280 4.852 1.192 Hg
4.852 5.514 3.576 Hg
4.190 1.617 1.192 Hg
8.087 7.424 3.576 Hg
3.235 6.469 2.384 N
3.235 3.235 0.000 N
6.469 3.235 2.384 In
0.000 0.000 0.000 In